! SmMgCoCu, relaxed, DFT PBE; values from VASP
&SYSTEM
  ibrav = 0, nat = 4, ntyp = 4
/
ATOMIC_SPECIES
Sm 150.36 Sm.upf
Cu 63.55 Cu.upf
Co 58.93 Co.upf
Mg 24.30 Mg.upf
CELL_PARAMETERS angstrom
-1.034 2.613 -3.753
-4.002 2.439 -0.128
0.095 4.678 0.302
ATOMIC_POSITIONS angstrom
Sm -3.706 7.297 -2.685
Cu 0.000 0.000 0.000
Co -2.471 4.865 -1.790
Mg -1.235 2.432 -0.895
! * uncorrected energy: -17.53 eV/cell
! * SG: F-43m
! * energy of formation from the pure elements: -3.0 meV/atom